The following is a DFT calculation (PBE) of a geometry-optimized Tb2Nd5Dy structure.

space group = No. 55
magnetic moment = 0.000 μB/f.u.
polymorph energy (0 for the lowest one) = 0 meV per atom
energy of formation from the pure elements = 0.02 eV per atom

Cell lengths 5.140, 7.263, 14.534 Å; angles 90.00, 90.00, 90.00 degrees
Fractional coordinates of all 16 atoms:
Dy1 0.000 0.000 0.500
Nd1 0.000 0.000 0.000
Nd2 0.000 0.999 0.251
Nd3 0.000 0.001 0.749
Nd4 0.000 0.501 0.751
Tb1 0.500 0.750 0.376
Nd5 0.500 0.752 0.624
Tb2 0.500 0.250 0.624
Tb3 0.500 0.750 0.876
Nd6 0.000 0.499 0.249
Nd7 0.500 0.248 0.376
Nd8 0.500 0.252 0.876
Dy2 0.000 0.500 0.000
Nd9 0.500 0.748 0.124
Tb4 0.500 0.250 0.124
Nd10 0.000 0.500 0.500